Entry 1:
The following is a PBE calculation of LiPrHoSb after structural relaxation, from Alexandria.

Geometry as CIF:
```
data_LiPrHoSb
_chemical_formula_sum 'Li4 Pr4 Ho4 Sb4'
_symmetry_space_group_name_H-M 'F -4 3 m'
_symmetry_Int_Tables_number 216
_symmetry_space_group_name_Hall 'F -4 2 3'
_cell_length_a 7.4868
_cell_length_b 7.4868
_cell_length_c 7.4868
_cell_angle_alpha 90.00
_cell_angle_beta 90.00
_cell_angle_gamma 90.00
loop_
_atom_site_label
_atom_site_fract_x
_atom_site_fract_y
_atom_site_fract_z
_atom_site_occupancy
Li1 0.0000 0.0000 0.0000 1
Pr1 0.2500 0.2500 0.2500 1
Ho1 0.2500 0.2500 0.7500 1
Sb1 0.0000 0.0000 0.5000 1
```

* energy relative to the elements, uncorrected: -0.46 eV/atom

***

Entry 2:
The following is a PBE calculation of AsIr3 after structural relaxation, from Alexandria.

Geometry as CIF:
```
data_AsIr3
_chemical_formula_sum 'As4 Ir12'
_symmetry_space_group_name_H-M 'I 4/m m m'
_symmetry_Int_Tables_number 139
_symmetry_space_group_name_Hall '-I 4 2'
_cell_length_a 3.9363
_cell_length_b 3.9363
_cell_length_c 15.4849
_cell_angle_alpha 90.00
_cell_angle_beta 90.00
_cell_angle_gamma 90.00
loop_
_atom_site_label
_atom_site_fract_x
_atom_site_fract_y
_atom_site_fract_z
_atom_site_occupancy
As1 0.0000 0.0000 0.1230 1
Ir1 0.0000 0.0000 0.3744 1
Ir2 0.0000 0.5000 0.0000 1
Ir3 0.0000 0.5000 0.2500 1
```

* polymorph energy (0 for the lowest one): 192 meV/atom
* formation energy from the elements: 0.269 eV/atom

***

Entry 3:
The following is a PBE calculation of LiFeReIr after structural relaxation, from Alexandria.

Geometry as CIF:
```
data_LiFeReIr
_chemical_formula_sum 'Li4 Fe4 Re4 Ir4'
_symmetry_space_group_name_H-M 'F -4 3 m'
_symmetry_Int_Tables_number 216
_symmetry_space_group_name_Hall 'F -4 2 3'
_cell_length_a 5.9262
_cell_length_b 5.9262
_cell_length_c 5.9262
_cell_angle_alpha 90.00
_cell_angle_beta 90.00
_cell_angle_gamma 90.00
loop_
_atom_site_label
_atom_site_fract_x
_atom_site_fract_y
_atom_site_fract_z
_atom_site_occupancy
Li1 0.0000 0.0000 0.0000 1
Fe1 0.2500 0.2500 0.7500 1
Re1 0.0000 0.0000 0.5000 1
Ir1 0.2500 0.2500 0.2500 1
```

* formation energy from the elements: 0.050 eV/atom

***

Entry 4:
The following is a PBE calculation of ZnCoRu2 after structural relaxation, from Alexandria.

Geometry as CIF:
```
data_ZnCoRu2
_chemical_formula_sum 'Zn2 Co2 Ru4'
_symmetry_space_group_name_H-M 'C 1 m 1'
_symmetry_Int_Tables_number 8
_symmetry_space_group_name_Hall 'C -2y'
_cell_length_a 8.8138
_cell_length_b 2.7144
_cell_length_c 4.4999
_cell_angle_alpha 90.00
_cell_angle_beta 101.17
_cell_angle_gamma 90.00
loop_
_atom_site_label
_atom_site_fract_x
_atom_site_fract_y
_atom_site_fract_z
_atom_site_occupancy
Zn1 0.0000 0.0000 0.0000 1
Co1 0.2498 0.0000 0.7926 1
Ru1 0.0076 0.5000 0.5050 1
Ru2 0.2584 0.5000 0.2969 1
```

* formation energy from the elements: 0.126 eV/atom

***

Entry 5:
The following is a PBE calculation of Cs2Zr2CuSe6 after structural relaxation, from Alexandria.

Geometry as CIF:
```
data_Cs2Zr2CuSe6
_chemical_formula_sum 'Cs4 Zr4 Cu2 Se12'
_symmetry_space_group_name_H-M 'C 1 2/m 1'
_symmetry_Int_Tables_number 12
_symmetry_space_group_name_Hall '-C 2y'
_cell_length_a 6.7002
_cell_length_b 11.9136
_cell_length_c 8.8708
_cell_angle_alpha 90.00
_cell_angle_beta 104.96
_cell_angle_gamma 90.00
loop_
_atom_site_label
_atom_site_fract_x
_atom_site_fract_y
_atom_site_fract_z
_atom_site_occupancy
Cs1 0.0000 0.1622 0.0000 1
Zr1 0.0000 0.3303 0.5000 1
Cu1 0.0000 0.0000 0.5000 1
Se1 0.2326 0.1677 0.6795 1
Se2 0.2405 0.5000 0.6641 1
```

* energy relative to the elements, uncorrected: -1.06 eV/atom

***

Entry 6:
The following is a PBE calculation of AgPd6Au2 after structural relaxation, from Alexandria.

Geometry as CIF:
```
data_AgPd6Au2
_chemical_formula_sum 'Ag2 Pd12 Au4'
_symmetry_space_group_name_H-M 'C 1 2/m 1'
_symmetry_Int_Tables_number 12
_symmetry_space_group_name_Hall '-C 2y'
_cell_length_a 9.0191
_cell_length_b 3.9816
_cell_length_c 8.5549
_cell_angle_alpha 90.00
_cell_angle_beta 108.38
_cell_angle_gamma 90.00
loop_
_atom_site_label
_atom_site_fract_x
_atom_site_fract_y
_atom_site_fract_z
_atom_site_occupancy
Ag1 0.0000 0.0000 0.0000 1
Pd1 0.0008 0.0000 0.6637 1
Pd2 0.1652 0.5000 0.5541 1
Pd3 0.1664 0.5000 0.8870 1
Au1 0.1681 0.5000 0.2247 1
```

* polymorph energy (0 for the lowest one): 0 meV/atom
* formation energy from the elements: -0.042 eV/atom

***

Entry 7:
The following is a PBE calculation of LiPaSi2 after structural relaxation, from Alexandria.

Geometry as CIF:
```
data_LiPaSi2
_chemical_formula_sum 'Li1 Pa1 Si2'
_symmetry_space_group_name_H-M 'P 4/m m m'
_symmetry_Int_Tables_number 123
_symmetry_space_group_name_Hall '-P 4 2'
_cell_length_a 3.2489
_cell_length_b 3.2489
_cell_length_c 6.4560
_cell_angle_alpha 90.00
_cell_angle_beta 90.00
_cell_angle_gamma 90.00
loop_
_atom_site_label
_atom_site_fract_x
_atom_site_fract_y
_atom_site_fract_z
_atom_site_occupancy
Li1 0.0000 0.0000 0.0000 1
Pa1 0.0000 0.0000 0.5000 1
Si1 0.5000 0.5000 0.1951 1
```

* energy relative to the elements, uncorrected: -0.21 eV/atom
* polymorph energy (0 for the lowest one): 191 meV/atom

***

Which formula does entry 4 have?
ZnCoRu2